Entry 1:
Pr6Tc2HBr3: optimized geometry, PBE-GGA.

abc: 6.8079 6.8079 8.3440
angles: 97.92 97.92 117.31
With the nearest neighbours (Å) after each atom.
Positions (direct):
1 Pr 0.9288 0.5977 0.8109  1 H 2.76, 2 Tc 2.76-3.00
2 Pr 0.0712 0.4023 0.1891  1 H 2.76, 2 Tc 2.76-3.00
3 Pr 0.7642 0.7642 0.2189  2 Tc 2.77, 1 H 2.78
4 Pr 0.2358 0.2358 0.7811  2 Tc 2.77, 1 H 2.78
5 Pr 0.4023 0.0712 0.1891  1 H 2.76, 2 Tc 2.76-3.00
6 Pr 0.5977 0.9288 0.8109  1 H 2.76, 2 Tc 2.76-3.00
7 Br 0.5000 0.5000 0.5000  6 Pr 3.37, 2 Br 3.73
8 Br 0.1794 0.8206 0.5000  6 Pr 3.25-3.45
9 Br 0.8206 0.1794 0.5000  6 Pr 3.25-3.45
10 H 0.0000 0.0000 0.0000  6 Pr 2.76-2.78
11 Tc 0.3597 0.6403 0.0000  6 Pr 2.76-3.00
12 Tc 0.6403 0.3597 0.0000  6 Pr 2.76-3.00

Computed properties:
* ρ: 6.43 Mg/m³
* SG: C2/m (12)
* N(E_F): 0.52 states/eV/atom
* magnetic moment: 0.000 μB/atom
* final energy: -5.45 eV per atom



Entry 2:
CdBi2RhPb: optimized geometry, PBE-GGA.

abc: 5.6059 5.0404 5.6059
angles: 90.00 90.00 90.00
With the nearest neighbours (Å) after each atom.
Positions (direct):
1 Cd 0.0000 0.0000 0.0000  2 Rh 2.52, 4 Bi 2.80
2 Rh 0.0000 0.5000 0.0000  2 Cd 2.52
3 Bi 0.0000 0.0000 0.5000  2 Cd 2.80
4 Bi 0.5000 0.0000 0.0000  2 Cd 2.80
5 Pb 0.5000 0.5000 0.5000  8 Bi 3.77, 4 Rh 3.96

Computed properties:
* ρ: 8.81 Mg/m³
* SG: P4/mmm (123)
* N(E_F): 1.07 states/eV/atom
* magnetic moment: 0.000 μB/atom
* calculated formation energy: 0.74 eV per atom
* final energy: -3.21 eV per atom



Entry 3:
Mg6Ga2Hg: optimized geometry, PBE-GGA.

abc: 4.8329 4.9600 9.0597
angles: 94.47 90.00 119.16
With the nearest neighbours (Å) after each atom.
Positions (direct):
1 Mg 0.6671 0.3343 0.0575  1 Ga 2.87, 7 Mg 2.99-3.09
2 Mg 0.3329 0.6657 0.9425  1 Ga 2.87, 7 Mg 2.99-3.09
3 Mg 0.3357 0.6714 0.6017  3 Hg 2.97-2.99, 4 Ga 3.06-3.13, 3 Mg 3.09-3.31
4 Mg 0.6643 0.3286 0.3983  3 Hg 2.97-2.99, 4 Ga 3.06-3.13, 3 Mg 3.09-3.31
5 Mg 0.9984 0.9969 0.8204  3 Ga 2.87-2.96, 1 Hg 2.90, 3 Mg 3.01-3.07
6 Mg 0.0016 0.0031 0.1796  3 Ga 2.87-2.96, 1 Hg 2.90, 3 Mg 3.01-3.07
7 Hg 0.0000 0.0000 0.5000  8 Mg 2.90-2.99
8 Ga 0.6704 0.3409 0.7414  8 Mg 2.87-3.13
9 Ga 0.3296 0.6591 0.2586  8 Mg 2.87-3.13

Computed properties:
* ρ: 4.27 Mg/m³
* SG: C2/m (12)
* N(E_F): 0.40 states/eV/atom
* magnetic moment: 0.000 μB/atom
* calculated formation energy: -0.10 eV per atom
* final energy: -1.86 eV per atom



Entry 4:
Tb8SnBi2: optimized geometry, PBE-GGA.

abc: 5.1996 6.9831 9.6457
angles: 87.98 105.64 90.00
With the nearest neighbours (Å) after each atom.
Positions (direct):
1 Tb 0.9716 0.7514 0.9433  2 Sn 3.18
2 Tb 0.3392 0.9184 0.6783  1 Sn 3.06, 3 Bi 3.18-3.28
3 Tb 0.0284 0.2486 0.0567  2 Sn 3.18
4 Tb 0.4078 0.4403 0.8156  1 Sn 3.46, 2 Bi 3.49, 9 Tb 3.53-3.69
5 Tb 0.2166 0.3708 0.4333  3 Bi 3.23-3.60, 5 Tb 3.42-3.60
6 Tb 0.6608 0.0816 0.3217  1 Sn 3.06, 3 Bi 3.18-3.28
7 Tb 0.5922 0.5597 0.1844  1 Sn 3.46, 2 Bi 3.49, 9 Tb 3.53-3.69
8 Tb 0.7834 0.6292 0.5667  3 Bi 3.23-3.60, 5 Tb 3.42-3.60
9 Bi 0.8323 0.1804 0.6646  6 Tb 3.18-3.49
10 Bi 0.1677 0.8196 0.3354  6 Tb 3.18-3.49
11 Sn 0.5000 0.0000 0.0000  6 Tb 3.06-3.18

Computed properties:
* ρ: 8.91 Mg/m³
* SG: C2/m (12)
* N(E_F): 1.13 states/eV/atom
* magnetic moment: 0.000 μB/atom
* calculated formation energy: -0.38 eV per atom
* final energy: -4.82 eV per atom



Entry 5:
Tb2PmSmHg4: optimized geometry, PBE-GGA.

abc: 5.3374 5.3374 9.2353
angles: 73.20 73.20 60.00
With the nearest neighbours (Å) after each atom.
Positions (direct):
1 Hg 0.8754 0.8754 0.3739  1 Sm 3.26, 4 Tb 3.27-3.28, 3 Pm 3.27
2 Hg 0.6253 0.6253 0.1240  4 Tb 3.25-3.27, 3 Sm 3.27, 1 Pm 3.27
3 Hg 0.3747 0.3747 0.8760  4 Tb 3.25-3.27, 3 Sm 3.27, 1 Pm 3.27
4 Hg 0.1246 0.1246 0.6261  1 Sm 3.26, 4 Tb 3.27-3.28, 3 Pm 3.27
5 Sm 0.0000 0.0000 0.0000  8 Hg 3.26-3.27
6 Pm 0.5000 0.5000 0.5000  8 Hg 3.27
7 Tb 0.2501 0.2501 0.2497  8 Hg 3.25-3.28
8 Tb 0.7499 0.7499 0.7503  8 Hg 3.25-3.28

Computed properties:
* ρ: 10.94 Mg/m³
* SG: R-3m (166)
* N(E_F): 1.24 states/eV/atom
* magnetic moment: 0.160 μB/atom
* calculated formation energy: -0.47 eV per atom
* final energy: -2.97 eV per atom



Entry 6:
MnSb2Pb: optimized geometry, PBE-GGA.

abc: 4.1857 4.9876 4.9876
angles: 90.00 90.00 90.00
With the nearest neighbours (Å) after each atom.
Positions (direct):
1 Pb 0.5000 0.0000 0.5000  8 Sb 3.26, 4 Mn 3.53
2 Mn 0.5000 0.5000 0.0000  8 Sb 3.26, 4 Pb 3.53
3 Sb 0.0000 0.0000 0.0000  4 Mn 3.26, 4 Pb 3.26, 4 Sb 3.53
4 Sb 0.0000 0.5000 0.5000  4 Mn 3.26, 4 Pb 3.26, 4 Sb 3.53

Computed properties:
* ρ: 8.06 Mg/m³
* SG: P4/mmm (123)
* N(E_F): 0.52 states/eV/atom
* magnetic moment: 1.067 μB/atom
* formation energy from raw total energies: 34.3 kJ/mol of atoms
* final energy: -4.92 eV per atom



Entry 7:
NpSn2S4: optimized geometry, PBE-GGA.

abc: 4.0778 7.1231 7.1231
angles: 108.92 90.00 90.00
With the nearest neighbours (Å) after each atom.
Positions (direct):
1 Sn 0.5000 0.0000 0.5000  6 S 2.91
2 Sn 0.5000 0.5000 0.0000  6 S 2.91
3 S 0.5000 0.2149 0.2149  2 Np 2.71, 2 Sn 2.91
4 S 0.0000 0.2335 0.7665  1 Np 2.71, 4 Sn 2.91
5 S 0.0000 0.7665 0.2335  1 Np 2.71, 4 Sn 2.91
6 S 0.5000 0.7851 0.7851  2 Np 2.71, 2 Sn 2.91
7 Np 0.0000 0.0000 0.0000  6 S 2.71

Computed properties:
* ρ: 5.11 Mg/m³
* SG: Cmmm (65)
* N(E_F): 1.27 states/eV/atom
* magnetic moment: 0.432 μB/atom
* formation energy from raw total energies: -73.8 kJ/mol of atoms
* final energy: -6.12 eV per atom



Entry 8:
Zr2Te2Pt: optimized geometry, PBE-GGA.

abc: 7.5899 7.5899 3.9720
angles: 90.00 90.00 90.00
With the nearest neighbours (Å) after each atom.
Positions (direct):
1 Pt 0.0000 0.0000 0.0000  4 Zr 2.89
2 Pt 0.5000 0.5000 0.0000  4 Zr 2.89
3 Zr 0.6494 0.1494 0.0000  2 Pt 2.89, 6 Te 2.92-3.02, 1 Zr 3.21
4 Zr 0.1494 0.3506 0.0000  2 Pt 2.89, 6 Te 2.92-3.02, 1 Zr 3.21
5 Zr 0.3506 0.8506 0.0000  2 Pt 2.89, 6 Te 2.92-3.02, 1 Zr 3.21
6 Zr 0.8506 0.6494 0.0000  2 Pt 2.89, 6 Te 2.92-3.02, 1 Zr 3.21
7 Te 0.1510 0.6510 0.5000  6 Zr 2.92-3.02, 1 Te 3.24
8 Te 0.8490 0.3490 0.5000  6 Zr 2.92-3.02, 1 Te 3.24
9 Te 0.3490 0.1510 0.5000  6 Zr 2.92-3.02, 1 Te 3.24
10 Te 0.6510 0.8490 0.5000  6 Zr 2.92-3.02, 1 Te 3.24

Computed properties:
* ρ: 9.18 Mg/m³
* SG: P4/mbm (127)
* N(E_F): 0.21 states/eV/atom
* magnetic moment: 0.000 μB/atom
* formation energy from raw total energies: -59.2 kJ/mol of atoms
* final energy: -6.50 eV per atom



Entry 9:
Cs2CdSbCl6: optimized geometry, PBE-GGA.

abc: 7.7863 7.7863 7.7656
angles: 59.91 59.91 90.00
With the nearest neighbours (Å) after each atom.
Positions (direct):
1 Cl 0.7537 0.7537 0.0000  1 Sb 2.71, 1 Cd 2.79
2 Cl 0.7510 0.7510 0.4981  1 Sb 2.73, 1 Cd 2.75
3 Cl 0.2463 0.7537 0.0000  1 Sb 2.71, 1 Cd 2.79
4 Cl 0.2463 0.2463 0.0000  1 Sb 2.71, 1 Cd 2.79
5 Cl 0.7537 0.2463 0.0000  1 Sb 2.71, 1 Cd 2.79
6 Cl 0.2490 0.2490 0.5019  1 Sb 2.73, 1 Cd 2.75
7 Cs 0.7500 0.2500 0.5000  12 Cl 3.88-3.89
8 Cs 0.2500 0.7500 0.5000  12 Cl 3.88-3.89
9 Sb 0.0000 0.0000 0.0000  6 Cl 2.71-2.73
10 Cd 0.5000 0.5000 0.0000  6 Cl 2.75-2.79

Computed properties:
* ρ: 3.56 Mg/m³
* SG: I4/mmm (139)
* N(E_F): 0.26 states/eV/atom
* magnetic moment: 0.000 μB/atom
* formation energy from raw total energies: -126.3 kJ/mol of atoms
* final energy: -3.09 eV per atom



Entry 10:
Tl2InCo: optimized geometry, PBE-GGA.

abc: 5.5790 5.5790 5.5790
angles: 133.12 133.12 68.47
With the nearest neighbours (Å) after each atom.
Positions (direct):
1 Tl 0.0000 0.0000 0.0000  4 Co 3.14, 4 Tl 3.20, 4 In 3.20
2 Tl 0.2500 0.7500 0.5000  4 In 3.14, 4 Tl 3.20, 4 Co 3.20
3 In 0.7500 0.2500 0.5000  8 Tl 3.14-3.20, 4 Co 3.20
4 Co 0.5000 0.5000 0.0000  8 Tl 3.14-3.20, 4 In 3.20

Computed properties:
* ρ: 10.65 Mg/m³
* SG: I-4m2 (119)
* N(E_F): 0.95 states/eV/atom
* magnetic moment: 0.378 μB/atom
* calculated formation energy: 0.53 eV per atom
* final energy: -3.11 eV per atom



Entry 11:
PmNd3Tc: optimized geometry, PBE-GGA.

abc: 4.0168 6.5415 12.5449
angles: 81.97 80.79 72.12
With the nearest neighbours (Å) after each atom.
Positions (direct):
1 Pm 0.2292 0.5332 0.0085  3 Tc 3.00-3.25
2 Pm 0.1166 0.4829 0.2839  2 Tc 2.99
3 Tc 0.4240 0.3892 0.7628  6 Nd 2.85-3.01
4 Tc 0.7872 0.2780 0.1476  3 Nd 2.86-3.17, 4 Pm 2.99-3.00
5 Nd 0.0950 0.1871 0.6229  2 Tc 3.01
6 Nd 0.7623 0.7150 0.7604  2 Tc 2.85
7 Nd 0.4267 0.6266 0.5199  1 Tc 3.22, 4 Nd 3.53-3.56
8 Nd 0.4506 0.9506 0.1481  2 Tc 2.86
9 Nd 0.7841 0.0448 0.3870  1 Tc 3.17, 2 Pm 3.53
10 Nd 0.9851 0.1294 0.9004  3 Tc 3.00-3.28

Computed properties:
* ρ: 7.28 Mg/m³
* SG: Cm (8)
* N(E_F): 0.96 states/eV/atom
* magnetic moment: 0.000 μB/atom
* calculated formation energy: 0.04 eV per atom
* final energy: -5.85 eV per atom



Entry 12:
CsTmGe2Br8: optimized geometry, PBE-GGA.

abc: 7.4573 6.6738 10.2589
angles: 93.91 86.62 82.46
With the nearest neighbours (Å) after each atom.
Positions (direct):
1 Ge 0.5692 0.5575 0.1919  2 Br 2.44-2.60
2 Ge 0.4308 0.4425 0.8081  2 Br 2.44-2.60
3 Tm 0.0000 0.0000 0.0000  6 Br 2.73-2.82
4 Br 0.3046 0.2071 0.9722  1 Ge 2.60, 1 Tm 2.82
5 Br 0.6954 0.7929 0.0278  1 Ge 2.60, 1 Tm 2.82
6 Br 0.1260 0.7163 0.7892  1 Ge 2.75, 1 Tm 2.81
7 Br 0.8740 0.2837 0.2108  1 Ge 2.75, 1 Tm 2.81
8 Br 0.3974 0.2567 0.5997  1 Ge 2.44
9 Br 0.6026 0.7433 0.4003  1 Ge 2.44
10 Br 0.8186 0.2245 0.8246  1 Tm 2.73
11 Br 0.1814 0.7755 0.1754  1 Tm 2.73
12 Cs 0.0000 0.0000 0.5000  6 Br 3.66-3.77

Computed properties:
* ρ: 3.58 Mg/m³
* SG: P-1 (2)
* N(E_F): 0.00 states/eV/atom
* magnetic moment: 0.000 μB/atom
* formation energy from raw total energies: -113.4 kJ/mol of atoms
* final energy: -3.50 eV per atom